No. 1
LiRu2NF: single point on PBEsol structure, SCAN.

Cell lengths 3.7554, 3.7554, 5.5407 Å; angles 90.00, 90.00, 90.00 degrees
With the nearest neighbours (Å) after each atom.
Fractional positions:
Ru  0.0000  0.5000  0.0000  2 N 1.88
Ru  0.5000  0.0000  0.0000  2 N 1.88
N  0.0000  0.0000  0.0000  4 Ru 1.88
Li  0.5000  0.5000  0.5000  4 F 2.66
F  0.0000  0.0000  0.5000  4 Li 2.66, 2 N 2.77

total moment	2.79	Bohr magnetons per cell
density of states at the Fermi level	3.11	states/eV per cell
energy	-17.040	eV/atom

No. 2
Cr2FePt: single point on PBEsol structure, SCAN.

Cell lengths 2.5782, 2.5782, 7.2488 Å; angles 90.00, 90.00, 90.00 degrees
With the nearest neighbours (Å) after each atom.
Fractional positions:
Cr  0.0000  0.0000  0.0103  8 Cr 2.57-2.58, 4 Pt 2.62
Cr  0.5000  0.5000  0.2593  4 Fe 2.43, 8 Cr 2.57-2.58
Fe  0.0000  0.0000  0.4804  4 Cr 2.43, 4 Fe 2.58, 4 Pt 2.67
Pt  0.5000  0.5000  0.7500  4 Pt 2.58, 4 Cr 2.62, 4 Fe 2.67

E_form	0.01	eV per atom
total moment	0.44	Bohr magnetons per cell
density of states at the Fermi level	3.78	states/eV per cell